Below is a relaxed structure of RbAgAuS2, with properties calculated at the PBE level.

Computed properties:
Its density of states at the Fermi level is 8.3 states/eV per cell. As for the mass density: 5.77 g cm⁻³. The calculation puts the uncorrected formation energy at -0.391 eV per atom. As for the raw total energy: -0.2544 Ry per atom. For the total magnetization, the calculation gives 0.000 μB/atom.

Lattice parameters (Å, degrees): 7.4861 7.4861 5.9653 90.00 90.00 128.55
Fractional positions:
Rb 0.2500 0.7500 0.7613
Rb 0.7500 0.2500 0.2387
Ag 0.2500 0.2500 0.5000
Ag 0.7500 0.7500 0.5000
Au 0.0000 0.0000 0.0000
Au 0.5000 0.5000 0.0000
S 0.1159 0.8841 0.2861
S 0.3841 0.6159 0.2861
S 0.6159 0.3841 0.7139
S 0.8841 0.1159 0.7139